Entry 1:
# U2W

U2W after structural relaxation (PBE, the Alexandria database).

As for the raw total energy: -11.6459 eV/atom. As for the density of states at the Fermi level: 6.698 states/eV/f.u.

The structure belongs to space group I4/mmm (No. 139); the cell edges are 3.443, 3.443 and 9.707 Å and the angles 90.00°, 90.00° and 90.00°. The distinct sites, in fractional coordinates, are U at (0.000, 0.000, 0.181) and W at (0.000, 0.000, 0.500).



Entry 2:
# LiSc3Se

LiSc3Se after structural relaxation (PBE, the Alexandria database).

The calculation puts the excess energy over the best structure of this formula in the dataset at 0.00 eV/f.u. As for the uncorrected formation energy: -271 meV/atom. As for the density of states at the Fermi level: 8.591 states/eV/f.u.

The structure belongs to space group Pm-3m (No. 221); the cell edges are 5.083, 5.083 and 5.083 Å and the angles 90.00°, 90.00° and 90.00°. The distinct sites, in fractional coordinates, are Li at (0.000, 0.000, 0.000), Sc at (0.000, 0.500, 0.500) and Se at (0.500, 0.500, 0.500).



Entry 3:
# Ba2SiRu

Ba2SiRu after structural relaxation (PBE, the Alexandria database).

As for the uncorrected formation energy: -150 meV/atom. As for the density of states at the Fermi level: 2.297 states/eV/f.u.

The structure belongs to space group Amm2 (No. 38); the cell edges are 4.253, 4.918 and 12.206 Å and the angles 90.00°, 90.00° and 90.00°. The distinct sites, in fractional coordinates, are Ba at (0.000, 0.000, 0.000), Ba at (0.500, 0.000, 0.282), Si at (0.500, 0.000, 0.593) and Ru at (0.000, 0.000, 0.677).